No. 1
Entry from Alexandria via LeMat-Bulk: a relaxed structure of CaGaPd2 (PBE-GGA).

Total energy: -17.84 eV/cell

abc: 3.2993 3.2993 6.6898
angles: 90.00 90.00 90.00
Space group P4/mmm (No. 123)
Symmetry-distinct sites (fractional):
Ca (0.0000, 0.0000, 0.0000) [1 per cell]
Ga (0.0000, 0.0000, 0.5000) [1 per cell]
Pd (0.5000, 0.5000, 0.2932) [2 per cell]

---

No. 2
Entry from Alexandria via LeMat-Bulk: a relaxed structure of Ac3Pm3Y (PBE-GGA).

Total energy: -128.96 eV/cell

abc: 9.3849 10.3859 11.3454
angles: 90.00 91.42 90.00
Space group C2/m (No. 12)
Symmetry-distinct sites (fractional):
Ac (0.1706, 0.0000, 0.4212) [4 per cell]
Ac (0.1928, 0.1838, 0.7505) [8 per cell]
Pm (0.0000, 0.3119, 0.0000) [4 per cell]
Pm (0.0000, 0.3222, 0.5000) [4 per cell]
Pm (0.1797, 0.0000, 0.0556) [4 per cell]
Y (0.0243, 0.5000, 0.7556) [4 per cell]

---

No. 3
Entry from Alexandria via LeMat-Bulk: a relaxed structure of Sc6AgPd5 (PBE-GGA).

Total energy: -152.58 eV/cell

abc: 4.7146 6.6704 14.1088
angles: 90.00 90.00 90.00
Space group Immm (No. 71)
Symmetry-distinct sites (fractional):
Sc (0.0000, 0.2428, 0.0000) [4 per cell]
Sc (0.0000, 0.2534, 0.3305) [8 per cell]
Ag (0.0000, 0.0000, 0.5000) [2 per cell]
Pd (0.0000, 0.0000, 0.1677) [4 per cell]
Pd (0.0000, 0.5000, 0.1641) [4 per cell]
Pd (0.0000, 0.5000, 0.5000) [2 per cell]